Here is an optimized crystal structure of YTcF from the Alexandria database. Energies are from PBE.

Lattice parameters (Å, degrees): 8.2505 8.2505 8.2505 28.32 28.32 28.32
Last column: nearest neighbours and their distance in Å.
Sites, in units of the cell vectors:
Y 0.0940 0.0940 0.0940  4 F 2.35-2.58
Y 0.9060 0.9060 0.9060  4 F 2.35-2.58
Tc 0.3416 0.3416 0.3416  3 Tc 2.36
Tc 0.6584 0.6584 0.6584  3 Tc 2.36
F 0.1930 0.1930 0.1930  4 Y 2.35-2.58
F 0.8070 0.8070 0.8070  4 Y 2.35-2.58

Output
* SG: R-3m (166)
* raw formation energy: -1.760 eV/atom
* total moment: 0.00 μB per cell

Here is an optimized crystal structure of Ac3GaAg3 from the Alexandria database. Energies are from PBE.

Lattice parameters (Å, degrees): 10.9688 10.9688 10.9688 158.58 154.53 33.51
Last column: nearest neighbours and their distance in Å.
Sites, in units of the cell vectors:
Ac 0.0000 0.0000 0.0000  6 Ag 3.33
Ac 0.3760 0.3760 0.0000  2 Ga 3.29, 5 Ag 3.36-3.63
Ac 0.6887 0.1887 0.5000  8 Ag 3.43-3.57, 4 Ga 3.44
Ga 0.2532 0.7532 0.5000  3 Ag 2.68-2.82
Ag 0.1255 0.6255 0.5000  1 Ga 2.68, 2 Ag 2.90
Ag 0.5490 0.5490 0.0000  2 Ag 2.90
Ag 0.8219 0.8219 0.0000  2 Ga 2.82

Output
* SG: Imm2 (44)
* E_form: -0.32 eV per atom
* E above lowest polymorph: 0.000 eV per atom
* total moment: 0.00 μB per cell

Here is an optimized crystal structure of Y2NbFe from the Alexandria database. Energies are from PBE.

Lattice parameters (Å, degrees): 6.2768 6.2768 6.2768 102.67 102.67 124.15
Last column: nearest neighbours and their distance in Å.
Sites, in units of the cell vectors:
Y 0.0786 0.1250 0.4536  2 Fe 2.63
Y 0.3750 0.9214 0.0464  2 Fe 2.63
Y 0.6714 0.6250 0.5464  2 Fe 2.63
Y 0.8750 0.3286 0.9536  2 Fe 2.63
Nb 0.2500 0.7500 0.5000  2 Fe 2.94, 4 Y 3.13
Nb 0.5000 0.5000 0.0000  2 Fe 2.94, 4 Y 3.13
Fe 0.0000 0.0000 0.0000  4 Y 2.63, 2 Nb 2.94
Fe 0.7500 0.2500 0.5000  4 Y 2.63, 2 Nb 2.94

Output
* SG: I-42d (122)
* E_form: 0.70 eV per atom
* E above lowest polymorph: 0.165 eV per atom
* total moment: 2.63 μB per cell

Here is an optimized crystal structure of EuErH from the Alexandria database. Energies are from PBE.

Lattice parameters (Å, degrees): 3.6345 3.6345 5.8920 90.00 90.00 120.00
Last column: nearest neighbours and their distance in Å.
Sites, in units of the cell vectors:
Eu 0.0000 0.0000 0.0000  3 H 2.63
Er 0.6667 0.3333 0.5149  3 H 2.45
H 0.3333 0.6667 0.7302  3 Er 2.45, 3 Eu 2.63

Output
* SG: P3m1 (156)
* E above lowest polymorph: 0.093 eV per atom
* total moment: 7.74 μB per cell